1.
Material: BaInRu2
Method: DFT, PBE-GGA
State: relaxed

Results
* symmetry: Imm2 (44)

Lattice parameters (Å, degrees): 6.245 6.245 6.245 151.09 131.10 57.81
Element x y z (fractional)
Ru 0.207 0.707 0.500
Ba 0.490 0.490 0.000
Ru 0.018 0.018 0.000
In 0.785 0.285 0.500


2.
Material: Li2AlZn3
Method: DFT, PBE-GGA
State: relaxed

Results
* symmetry: C2/c (15)

Lattice parameters (Å, degrees): 5.227 5.227 7.088 98.93 98.93 94.86
Element x y z (fractional)
Zn 0.831 0.660 0.502
Li 0.377 0.872 0.626
Zn 0.418 0.582 0.250
Al 0.916 0.084 0.750
Al 0.084 0.916 0.250
Zn 0.582 0.418 0.750
Li 0.128 0.623 0.874
Li 0.623 0.128 0.374
Zn 0.169 0.340 0.498
Li 0.872 0.377 0.126
Zn 0.340 0.169 0.998
Zn 0.660 0.831 0.002


3.
Material: BaIn4Bi2
Method: DFT, PBE-GGA
State: relaxed

Results
* symmetry: P-1 (2)

Lattice parameters (Å, degrees): 4.728 6.257 8.489 102.56 90.02 68.15
Element x y z (fractional)
In 0.434 0.123 0.698
Ba 0.000 0.000 0.000
In 0.566 0.877 0.302
In 0.866 0.271 0.425
In 0.134 0.729 0.575
Bi 0.732 0.527 0.785
Bi 0.268 0.473 0.215


| no. | magnetic moment (μB per formula unit) | electronic total energy (eV per atom) |
| --- | --- | --- |
| 1 | 1.20 | -5.255 |
| 2 | 0.00 | -2.051 |
| 3 | 0.00 | -3.172 |